--- P ---
# BaMn3Cu (GGA-PBE, optimized geometry)
# Crystal system: cubic
data_BaMn3Cu
_cell_length_a 5.2830
_cell_length_b 5.2830
_cell_length_c 5.2830
_cell_angle_alpha 90.00
_cell_angle_beta 90.00
_cell_angle_gamma 90.00
_space_group_name_H-M_alt 'P m -3 m'
_space_group_IT_number 221
_space_group_name_Hall '-P 4 2 3'
loop_
_atom_site_label
_atom_site_type_symbol
_atom_site_fract_x
_atom_site_fract_y
_atom_site_fract_z
_atom_site_occupancy
Ba1 Ba 0.0000 0.0000 0.0000 1
Mn1 Mn 0.0000 0.0000 0.5000 1
Cu1 Cu 0.5000 0.5000 0.5000 1

=====

--- Q ---
# BaMn3Cu (GGA-PBE, optimized geometry)
# Crystal system: cubic
data_BaMn3Cu
_cell_length_a 4.8862
_cell_length_b 4.8862
_cell_length_c 4.8862
_cell_angle_alpha 90.00
_cell_angle_beta 90.00
_cell_angle_gamma 90.00
_space_group_name_H-M_alt 'P m -3 m'
_space_group_IT_number 221
_space_group_name_Hall '-P 4 2 3'
loop_
_atom_site_label
_atom_site_type_symbol
_atom_site_fract_x
_atom_site_fract_y
_atom_site_fract_z
_atom_site_occupancy
Ba1 Ba 0.0000 0.0000 0.0000 1
Mn1 Mn 0.0000 0.5000 0.5000 1
Cu1 Cu 0.5000 0.5000 0.5000 1

=====

Of them, the most stable is Q and the least stable is P.

=====

--- P ---
# BaCuMo3 (GGA-PBE, optimized geometry)
# Crystal system: cubic
data_BaCuMo3
_cell_length_a 4.9358
_cell_length_b 4.9358
_cell_length_c 4.9358
_cell_angle_alpha 90.00
_cell_angle_beta 90.00
_cell_angle_gamma 90.00
_space_group_name_H-M_alt 'P m -3 m'
_space_group_IT_number 221
_space_group_name_Hall '-P 4 2 3'
loop_
_atom_site_label
_atom_site_type_symbol
_atom_site_fract_x
_atom_site_fract_y
_atom_site_fract_z
_atom_site_occupancy
Ba1 Ba 0.0000 0.0000 0.0000 1
Cu1 Cu 0.5000 0.5000 0.5000 1
Mo1 Mo 0.0000 0.0000 0.5000 1

=====

--- Q ---
# BaCuMo3 (GGA-PBE, optimized geometry)
# Crystal system: cubic
data_BaCuMo3
_cell_length_a 4.8331
_cell_length_b 4.8331
_cell_length_c 4.8331
_cell_angle_alpha 90.00
_cell_angle_beta 90.00
_cell_angle_gamma 90.00
_space_group_name_H-M_alt 'P m -3 m'
_space_group_IT_number 221
_space_group_name_Hall '-P 4 2 3'
loop_
_atom_site_label
_atom_site_type_symbol
_atom_site_fract_x
_atom_site_fract_y
_atom_site_fract_z
_atom_site_occupancy
Ba1 Ba 0.0000 0.0000 0.0000 1
Cu1 Cu 0.5000 0.5000 0.5000 1
Mo1 Mo 0.0000 0.5000 0.5000 1

=====

Of them, the most stable is Q and the least stable is P.